(1)
Compound: Pm6Co2Ag
Source: Alexandria via LeMat-Bulk
Functional: PBE
Structure: relaxed

a b c (Å): 9.4913 9.9370 10.1034
angles (deg): 90.00 90.00 90.00
With the nearest neighbours (Å) after each atom.
Space group Immm (No. 71)
One atom of each set of equivalent atoms:
Pm  0.0000  0.1996  0.2299 (multiplicity 8)  1 Co 2.72
Pm  0.1874  0.5000  0.1760 (multiplicity 8)  3 Co 2.77-2.97
Pm  0.2154  0.3198  0.5000 (multiplicity 8)  3 Co 2.95-3.14, 1 Ag 3.24
Co  0.0000  0.3419  0.0000 (multiplicity 4)  6 Pm 2.72-2.97
Co  0.0000  0.5000  0.3867 (multiplicity 4)  1 Co 2.29
Ag  0.0000  0.0000  0.0000 (multiplicity 2)  8 Pm 3.05-3.24, 2 Co 3.40
Ag  0.0000  0.0000  0.5000 (multiplicity 2)  12 Pm 3.37-3.78

The final energy comes out at -5.19 eV per atom. The theoretical density comes out at 7.6 Mg/m³. As for the energy relative to the elements: -0.13 eV per atom. Its crystal system is orthorhombic.

(2)
Compound: Pm6CoAg2
Source: Alexandria via LeMat-Bulk
Functional: PBE
Structure: relaxed

a b c (Å): 6.8947 7.4307 12.3690
angles (deg): 90.00 123.32 90.00
With the nearest neighbours (Å) after each atom.
Space group P2_1/c (No. 14)
One atom of each set of equivalent atoms:
Pm  0.1322  0.1907  0.4470 (multiplicity 4)  1 Co 2.68
Pm  0.2690  0.6891  0.4474 (multiplicity 4)  1 Co 2.68
Pm  0.3673  0.0126  0.2497 (multiplicity 4)  1 Co 2.71
Co  0.0000  0.0000  0.0000 (multiplicity 2)  6 Pm 2.68-2.71
Ag  0.2015  0.0988  0.7510 (multiplicity 4)  6 Pm 3.07-3.21

The final energy comes out at -4.69 eV per atom. The theoretical density comes out at 7.2 Mg/m³. As for the energy relative to the elements: -0.10 eV per atom. Its crystal system is monoclinic.

(3)
Compound: Pm5CoAg4
Source: Alexandria via LeMat-Bulk
Functional: PBE
Structure: relaxed

a b c (Å): 3.6164 3.6164 18.9790
angles (deg): 90.00 90.00 90.00
With the nearest neighbours (Å) after each atom.
Space group P4/mmm (No. 123)
One atom of each set of equivalent atoms:
Pm  0.0000  0.0000  0.0000 (multiplicity 1)  8 Ag 3.21
Pm  0.0000  0.0000  0.2051 (multiplicity 2)  8 Ag 3.21-3.22
Pm  0.0000  0.0000  0.4124 (multiplicity 2)  4 Co 3.05, 4 Ag 3.25, 1 Pm 3.33
Co  0.5000  0.5000  0.5000 (multiplicity 1)  8 Pm 3.05
Ag  0.5000  0.5000  0.1024 (multiplicity 2)  8 Pm 3.21-3.22
Ag  0.5000  0.5000  0.3071 (multiplicity 2)  8 Pm 3.21-3.25

The final energy comes out at -4.43 eV per atom. The theoretical density comes out at 8.1 Mg/m³. As for the energy relative to the elements: -0.21 eV per atom. Its crystal system is tetragonal.

(4)
Compound: PmCo4Ag
Source: Alexandria via LeMat-Bulk
Functional: PBE
Structure: relaxed

a b c (Å): 7.1056 7.1056 7.1056
angles (deg): 90.00 90.00 90.00
With the nearest neighbours (Å) after each atom.
Space group F-43m (No. 216)
One atom of each set of equivalent atoms:
Pm  0.0000  0.0000  0.0000 (multiplicity 4)  12 Co 2.95, 4 Ag 3.08
Co  0.1244  0.1244  0.3756 (multiplicity 16)  6 Co 2.50-2.53
Ag  0.2500  0.2500  0.7500 (multiplicity 4)  12 Co 2.94, 4 Pm 3.08

The final energy comes out at -5.98 eV per atom. The theoretical density comes out at 9.0 Mg/m³. As for the energy relative to the elements: 0.02 eV per atom. Its crystal system is cubic.

(5)
Compound: PmCoAg
Source: Alexandria via LeMat-Bulk
Functional: PBE
Structure: relaxed

a b c (Å): 12.8763 3.9728 4.9850
angles (deg): 90.00 102.53 90.00
With the nearest neighbours (Å) after each atom.
Space group C2/m (No. 12)
One atom of each set of equivalent atoms:
Pm  0.1261  0.0000  0.3278 (multiplicity 4)  2 Co 2.76-2.87
Co  0.2302  0.0000  0.8991 (multiplicity 4)  2 Co 2.23
Ag  0.0749  0.5000  0.7844 (multiplicity 4)  3 Co 2.66-2.79

The final energy comes out at -5.01 eV per atom. The theoretical density comes out at 8.3 Mg/m³. As for the energy relative to the elements: -0.10 eV per atom. Its crystal system is monoclinic.

(6)
Compound: Pm6CoAg2
Source: Alexandria via LeMat-Bulk
Functional: PBE
Structure: relaxed

a b c (Å): 9.7225 9.9839 10.3038
angles (deg): 90.00 90.00 90.00
With the nearest neighbours (Å) after each atom.
Space group Immm (No. 71)
One atom of each set of equivalent atoms:
Pm  0.0000  0.1666  0.2494 (multiplicity 8)  1 Co 3.06, 3 Ag 3.17-3.35, 1 Pm 3.33
Pm  0.1669  0.5000  0.2248 (multiplicity 8)  3 Ag 2.99-3.19, 1 Pm 3.25, 1 Co 3.27
Pm  0.2292  0.3184  0.5000 (multiplicity 8)  2 Co 2.87-3.20, 1 Ag 3.14
Co  0.0000  0.0000  0.0000 (multiplicity 2)  8 Pm 3.06-3.20
Co  0.0000  0.5000  0.5000 (multiplicity 2)  4 Pm 2.87
Ag  0.0000  0.3525  0.0000 (multiplicity 4)  1 Ag 2.94, 8 Pm 3.14-3.19
Ag  0.1379  0.0000  0.5000 (multiplicity 4)  1 Ag 2.68, 2 Pm 2.99

The final energy comes out at -4.65 eV per atom. The theoretical density comes out at 7.6 Mg/m³. As for the energy relative to the elements: -0.06 eV per atom. Its crystal system is orthorhombic.

(7)
Compound: Pm6Co2Ag
Source: Alexandria via LeMat-Bulk
Functional: PBE
Structure: relaxed

a b c (Å): 10.0497 5.1927 8.9577
angles (deg): 90.00 99.85 90.00
With the nearest neighbours (Å) after each atom.
Space group C2/m (No. 12)
One atom of each set of equivalent atoms:
Pm  0.0383  0.0000  0.3418 (multiplicity 4)  1 Ag 3.02, 4 Pm 3.06-3.28, 2 Co 3.09
Pm  0.1562  0.5000  0.8850 (multiplicity 4)  1 Co 2.57
Pm  0.2115  0.5000  0.3405 (multiplicity 4)  1 Co 2.65
Co  0.1095  0.5000  0.5939 (multiplicity 4)  1 Co 2.53, 2 Pm 2.57-2.65
Ag  0.0000  0.0000  0.0000 (multiplicity 2)  6 Pm 3.02-3.29

The final energy comes out at -5.11 eV per atom. The theoretical density comes out at 7.9 Mg/m³. As for the energy relative to the elements: -0.04 eV per atom. Its crystal system is monoclinic.

(8)
Compound: Pm6CoAg
Source: Alexandria via LeMat-Bulk
Functional: PBE
Structure: relaxed

a b c (Å): 7.1799 11.0817 6.6892
angles (deg): 90.00 107.63 90.00
With the nearest neighbours (Å) after each atom.
Space group C2/m (No. 12)
One atom of each set of equivalent atoms:
Pm  0.1977  0.1826  0.2429 (multiplicity 8)  1 Co 2.71
Pm  0.2490  0.5000  0.2111 (multiplicity 4)  1 Co 2.60
Co  0.0000  0.0000  0.0000 (multiplicity 2)  6 Pm 2.60-2.71
Ag  0.0000  0.5000  0.5000 (multiplicity 2)  6 Pm 3.00-3.08

The final energy comes out at -4.76 eV per atom. The theoretical density comes out at 6.8 Mg/m³. As for the energy relative to the elements: 0.05 eV per atom. Its crystal system is monoclinic.

(9)
Compound: Pm4Co2Ag
Source: Alexandria via LeMat-Bulk
Functional: PBE
Structure: relaxed

a b c (Å): 3.9591 10.5446 18.7849
angles (deg): 90.00 90.00 90.00
With the nearest neighbours (Å) after each atom.
Space group Cmcm (No. 63)
One atom of each set of equivalent atoms:
Pm  0.0000  0.0000  0.0000 (multiplicity 4)  6 Co 3.02-3.04
Pm  0.0000  0.2859  0.1279 (multiplicity 8)  3 Co 2.77-2.93
Pm  0.0000  0.4205  0.7500 (multiplicity 4)  3 Ag 2.98-3.04
Co  0.0000  0.2840  0.5197 (multiplicity 8)  2 Co 2.23
Ag  0.0000  0.1317  0.7500 (multiplicity 4)  7 Pm 2.98-3.15

The final energy comes out at -5.12 eV per atom. The theoretical density comes out at 6.8 Mg/m³. As for the energy relative to the elements: 0.03 eV per atom. Its crystal system is orthorhombic.

(10)
Compound: Pm8CoAg2
Source: Alexandria via LeMat-Bulk
Functional: PBE
Structure: relaxed

a b c (Å): 17.7137 5.2582 6.9598
angles (deg): 90.00 103.12 90.00
With the nearest neighbours (Å) after each atom.
Space group C2/m (No. 12)
One atom of each set of equivalent atoms:
Pm  0.0243  0.0000  0.2854 (multiplicity 4)  1 Ag 3.03, 2 Co 3.10, 1 Pm 3.29
Pm  0.0879  0.5000  0.9383 (multiplicity 4)  1 Co 3.09, 3 Pm 3.41-3.45
Pm  0.1529  0.5000  0.4695 (multiplicity 4)  1 Co 2.77, 1 Ag 3.06
Pm  0.2021  0.0000  0.8156 (multiplicity 4)  3 Ag 2.98-3.32
Co  0.0000  0.5000  0.5000 (multiplicity 2)  4 Pm 2.77-3.09
Ag  0.1900  0.0000  0.2351 (multiplicity 4)  7 Pm 2.98-3.32

The final energy comes out at -4.69 eV per atom. The theoretical density comes out at 7.5 Mg/m³. As for the energy relative to the elements: -0.07 eV per atom. Its crystal system is monoclinic.

(11)
Compound: PmPrCoAg
Source: Alexandria via LeMat-Bulk
Functional: PBE
Structure: relaxed

a b c (Å): 7.2414 7.2414 7.2414
angles (deg): 90.00 90.00 90.00
With the nearest neighbours (Å) after each atom.
Space group F-43m (No. 216)
One atom of each set of equivalent atoms:
Pm  0.0000  0.0000  0.0000 (multiplicity 4)  4 Co 3.14, 4 Ag 3.14
Pr  0.0000  0.0000  0.5000 (multiplicity 4)  4 Co 3.14, 4 Ag 3.14
Co  0.2500  0.2500  0.7500 (multiplicity 4)  4 Pr 3.14, 4 Pm 3.14
Ag  0.2500  0.2500  0.2500 (multiplicity 4)  4 Pr 3.14, 4 Pm 3.14

The final energy comes out at -4.93 eV per atom. The theoretical density comes out at 7.9 Mg/m³. As for the energy relative to the elements: -0.05 eV per atom. Its crystal system is cubic.

(12)
Compound: PmSmCoAg
Source: Alexandria via LeMat-Bulk
Functional: PBE
Structure: relaxed

a b c (Å): 7.1647 7.1647 7.1647
angles (deg): 90.00 90.00 90.00
With the nearest neighbours (Å) after each atom.
Space group F-43m (No. 216)
One atom of each set of equivalent atoms:
Pm  0.0000  0.0000  0.0000 (multiplicity 4)  4 Ag 3.10, 4 Co 3.10
Sm  0.0000  0.0000  0.5000 (multiplicity 4)  4 Co 3.10, 4 Ag 3.10
Co  0.2500  0.2500  0.2500 (multiplicity 4)  4 Pm 3.10, 4 Sm 3.10
Ag  0.2500  0.2500  0.7500 (multiplicity 4)  4 Pm 3.10, 4 Sm 3.10

The final energy comes out at -4.95 eV per atom. The theoretical density comes out at 8.3 Mg/m³. As for the energy relative to the elements: -0.09 eV per atom. Its crystal system is cubic.